Computed, not measured: an optimized crystal structure of NbGaCo3 at the PBE-GGA level of DFT.

Unit cell a=4.465 b=4.465 c=4.465 alpha=90.00 beta=90.00 gamma=90.00
Positions (direct):
1 Nb 0.000 0.000 0.000
2 Ga 0.500 0.500 0.500
3 Co 0.000 0.000 0.500
4 Co 0.000 0.500 0.000
5 Co 0.500 0.000 0.000

***

Computed, not measured: an optimized crystal structure of Tl4InH2 at the PBE-GGA level of DFT.

Unit cell a=3.457 b=5.711 c=8.860 alpha=108.59 beta=98.53 gamma=90.07
Positions (direct):
1 Tl 0.058 0.313 0.123
2 Tl 0.294 0.094 0.692
3 Tl 0.706 0.906 0.308
4 Tl 0.942 0.687 0.877
5 In 0.500 0.500 0.500
6 H 0.495 0.226 0.951
7 H 0.505 0.774 0.049

***

Uncorrected energy values, unit eV per cell, following the record order: -27.7, -17.3.